{
  "formula": "TcBW",
  "functional": "PBE-GGA",
  "state": "optimized geometry",
  "sg": "F-43m (216)",
  "magmom_total_mub_per_fu": 0.0,
  "relative_energy_mev_per_atom": 82,
  "lattice": [[0.000, 2.845, 2.845], [2.845, 0.000, 2.845], [2.845, 2.845, 0.000]],
  "species": ["Tc", "B", "W"],
  "frac_coords": [[0.000, 0.000, 0.000], [0.500, 0.500, 0.500], [0.750, 0.750, 0.750]]
}